This record from OQMD via LeMat-Bulk describes Tl2FeGeCl6 after structural relaxation. The functional is PBE.

CIF file:
```
data_Tl2FeGeCl6
_chemical_formula_sum 'Tl2 Fe1 Ge1 Cl6'
_cell_length_a 7.181
_cell_length_b 7.181
_cell_length_c 7.181
_cell_angle_alpha 60.00
_cell_angle_beta 60.00
_cell_angle_gamma 60.00
_symmetry_space_group_name_H-M 'P 1'
_symmetry_Int_Tables_number 1
loop_
_symmetry_equiv_pos_as_xyz
'x,y,z'
loop_
_atom_site_label
_atom_site_type_symbol
_atom_site_fract_x
_atom_site_fract_y
_atom_site_fract_z
_atom_site_occupancy
Cl1 Cl 0.759 0.241 0.241 1
Cl2 Cl 0.241 0.759 0.241 1
Cl3 Cl 0.759 0.759 0.241 1
Cl4 Cl 0.241 0.241 0.759 1
Cl5 Cl 0.759 0.241 0.759 1
Cl6 Cl 0.241 0.759 0.759 1
Fe1 Fe 0.000 0.000 0.000 1
Ge1 Ge 0.500 0.500 0.500 1
Tl1 Tl 0.250 0.250 0.250 1
Tl2 Tl 0.750 0.750 0.750 1
```

Computed properties:
V, A^3/atom: 26.18
Theoretical density, g/cm3: 4.76
Crystal system: cubic
Energy, eV per cell: -36.97